First-principles (GGA-PBE) data for a geometry-optimized HoGa2Bi structure, as listed in Alexandria.

Calculated values
Its total moment is 0.0 μB/f.u. The excess energy over the best structure of this formula in the dataset is 0.000 eV/atom. The space-group type is P4/mmm.

abc: 4.617 4.617 4.381
angles: 90.00 90.00 90.00
Atoms (fractional coordinates):
Ho 0.000 0.000 0.000
Ga 0.000 0.500 0.500
Ga 0.500 0.000 0.500
Bi 0.500 0.500 0.000